Here is an optimized crystal structure of Ho3SiP2Rh9 from Alexandria via LeMat-Bulk. Energies are from GGA-PBE.

Cell lengths 6.1075, 6.1075, 8.3672 Å; angles 90.00, 90.00, 120.00 degrees
With the nearest neighbours (Å) after each atom.
Fractional positions:
Ho 0.0000 0.0000 0.0000  12 Rh 2.91-3.05
Ho 0.3333 0.6667 0.6830  9 Rh 3.07-3.18
Ho 0.6667 0.3333 0.3170  9 Rh 3.07-3.18
Si 0.0000 0.0000 0.5000  6 Rh 2.36
P 0.3333 0.6667 0.1717  6 Rh 2.18-2.27
P 0.6667 0.3333 0.8283  6 Rh 2.18-2.27
Rh 0.0000 0.5000 0.0000  2 P 2.27
Rh 0.1505 0.3010 0.2914  1 P 2.18, 1 Si 2.36
Rh 0.1505 0.8495 0.2914  1 P 2.18, 1 Si 2.36
Rh 0.3010 0.1505 0.7086  1 P 2.18, 1 Si 2.36
Rh 0.5000 0.0000 0.0000  2 P 2.27
Rh 0.5000 0.5000 0.0000  2 P 2.27
Rh 0.6990 0.8495 0.2914  1 P 2.18, 1 Si 2.36
Rh 0.8495 0.1505 0.7086  1 P 2.18, 1 Si 2.36
Rh 0.8495 0.6990 0.7086  1 P 2.18, 1 Si 2.36

* DOS(E_F): 4.288 states/eV per cell
* E: -7.128 eV per atom
* ΔE_f (raw): -0.72 eV/atom
* SG: P-3m1



Here is an optimized crystal structure of Sm2HoP3Rh12 from Alexandria via LeMat-Bulk. Energies are from GGA-PBE.

Cell lengths 6.7348, 6.7348, 6.7348 Å; angles 83.85, 83.85, 83.85 degrees
With the nearest neighbours (Å) after each atom.
Fractional positions:
Sm 0.1277 0.1277 0.1277  3 Rh 2.56
Sm 0.8723 0.8723 0.8723  3 Rh 2.56
Ho 0.5000 0.5000 0.5000  6 Rh 2.67
P 0.0000 0.5000 0.5000  2 Rh 2.23
P 0.5000 0.0000 0.5000  2 Rh 2.23
P 0.5000 0.5000 0.0000  2 Rh 2.23
Rh 0.1329 0.1329 0.5902  2 P 2.57, 1 Rh 2.69
Rh 0.1329 0.5902 0.1329  2 P 2.57, 1 Rh 2.69
Rh 0.1646 0.6780 0.6780  1 P 2.23
Rh 0.3220 0.3220 0.8354  1 P 2.23
Rh 0.3220 0.8354 0.3220  1 P 2.23
Rh 0.4098 0.8671 0.8671  2 P 2.57, 1 Rh 2.69
Rh 0.5902 0.1329 0.1329  2 P 2.57, 1 Rh 2.69
Rh 0.6780 0.1646 0.6780  1 P 2.23
Rh 0.6780 0.6780 0.1646  1 P 2.23
Rh 0.8354 0.3220 0.3220  1 P 2.23
Rh 0.8671 0.4098 0.8671  2 P 2.57, 1 Rh 2.69
Rh 0.8671 0.8671 0.4098  2 P 2.57, 1 Rh 2.69

* DOS(E_F): 17.934 states/eV per cell
* E: -6.951 eV per atom
* SG: R-3m



Here is an optimized crystal structure of Sr2HoP3Rh12 from Alexandria via LeMat-Bulk. Energies are from GGA-PBE.

Cell lengths 6.7490, 6.7490, 6.7490 Å; angles 84.05, 84.05, 84.05 degrees
With the nearest neighbours (Å) after each atom.
Fractional positions:
Sr 0.1163 0.1163 0.1163  3 Rh 2.62
Sr 0.8837 0.8837 0.8837  3 Rh 2.62
Ho 0.5000 0.5000 0.5000  6 Rh 2.66
P 0.0000 0.5000 0.5000  2 Rh 2.23
P 0.5000 0.0000 0.5000  2 Rh 2.23
P 0.5000 0.5000 0.0000  2 Rh 2.23
Rh 0.1408 0.1408 0.5767  2 P 2.53, 1 Rh 2.69
Rh 0.1408 0.5767 0.1408  2 P 2.53, 1 Rh 2.69
Rh 0.1667 0.6768 0.6768  1 P 2.23
Rh 0.3232 0.3232 0.8333  1 P 2.23
Rh 0.3232 0.8333 0.3232  1 P 2.23
Rh 0.4233 0.8592 0.8592  2 P 2.53, 1 Rh 2.69
Rh 0.5767 0.1408 0.1408  2 P 2.53, 1 Rh 2.69
Rh 0.6768 0.1667 0.6768  1 P 2.23
Rh 0.6768 0.6768 0.1667  1 P 2.23
Rh 0.8333 0.3232 0.3232  1 P 2.23
Rh 0.8592 0.4233 0.8592  2 P 2.53, 1 Rh 2.69
Rh 0.8592 0.8592 0.4233  2 P 2.53, 1 Rh 2.69

* DOS(E_F): 18.745 states/eV per cell
* E: -6.425 eV per atom
* SG: R-3m



Here is an optimized crystal structure of HoTh2P3Rh4 from Alexandria via LeMat-Bulk. Energies are from GGA-PBE.

Cell lengths 4.0353, 4.0353, 11.2898 Å; angles 90.00, 90.00, 90.00 degrees
With the nearest neighbours (Å) after each atom.
Fractional positions:
Ho 0.0000 0.0000 0.0000  4 Rh 2.76, 4 P 2.85
Th 0.0000 0.5000 0.7220  4 P 3.06, 8 Rh 3.12-3.22
Th 0.5000 0.0000 0.2780  4 P 3.06, 8 Rh 3.12-3.22
P 0.0000 0.5000 0.3754  5 Rh 2.35-2.46
P 0.5000 0.0000 0.6246  5 Rh 2.35-2.46
P 0.5000 0.5000 0.0000  4 Rh 2.76, 4 Ho 2.85
Rh 0.0000 0.0000 0.5000  4 P 2.46
Rh 0.0000 0.5000 0.1673  1 P 2.35
Rh 0.5000 0.0000 0.8327  1 P 2.35
Rh 0.5000 0.5000 0.5000  4 P 2.46

* DOS(E_F): 5.785 states/eV per cell
* E: -7.601 eV per atom
* SG: P-4m2



Here is an optimized crystal structure of HoTh2P2Rh7 from Alexandria via LeMat-Bulk. Energies are from GGA-PBE.

Cell lengths 4.0226, 4.0226, 13.3969 Å; angles 95.81, 95.81, 89.61 degrees
With the nearest neighbours (Å) after each atom.
Fractional positions:
Ho 0.0000 0.0000 0.0000  12 Rh 2.83-2.94
Th 0.1091 0.1091 0.3477  9 Rh 3.01-3.21, 4 P 3.10-3.18
Th 0.8909 0.8909 0.6523  9 Rh 3.01-3.21, 4 P 3.10-3.18
P 0.4166 0.4166 0.7517  5 Rh 2.31-2.32
P 0.5834 0.5834 0.2483  5 Rh 2.31-2.32
Rh 0.0543 0.5537 0.1618  2 P 2.31-2.32
Rh 0.3682 0.3682 0.5770  1 P 2.32
Rh 0.4463 0.9457 0.8382  2 P 2.31-2.32
Rh 0.5000 0.5000 0.0000  4 Ho 2.83-2.85, 8 Rh 2.94
Rh 0.5537 0.0543 0.1618  2 P 2.31-2.32
Rh 0.6318 0.6318 0.4230  1 P 2.32
Rh 0.9457 0.4463 0.8382  2 P 2.31-2.32

* DOS(E_F): 7.636 states/eV per cell
* E: -7.793 eV per atom
* SG: C2/m



Here is an optimized crystal structure of HoTiP2Rh5 from Alexandria via LeMat-Bulk. Energies are from GGA-PBE.

Cell lengths 4.0410, 4.0410, 9.8984 Å; angles 90.00, 90.00, 90.00 degrees
With the nearest neighbours (Å) after each atom.
Fractional positions:
Ho 0.0000 0.0000 0.0000  4 Rh 2.86
Ti 0.5000 0.5000 0.5000  8 Rh 2.59, 2 P 2.72
P 0.5000 0.5000 0.2253  5 Rh 2.23-2.30
P 0.5000 0.5000 0.7747  5 Rh 2.23-2.30
Rh 0.0000 0.5000 0.3356  2 P 2.30
Rh 0.0000 0.5000 0.6644  2 P 2.30
Rh 0.5000 0.0000 0.3356  2 P 2.30
Rh 0.5000 0.0000 0.6644  2 P 2.30
Rh 0.5000 0.5000 0.0000  2 P 2.23

* DOS(E_F): 3.449 states/eV per cell
* E: -7.181 eV per atom
* SG: P4/mmm



Here is an optimized crystal structure of HoTmP2Rh5 from Alexandria via LeMat-Bulk. Energies are from GGA-PBE.

Cell lengths 4.0004, 4.0004, 10.7632 Å; angles 90.00, 90.00, 90.00 degrees
With the nearest neighbours (Å) after each atom.
Fractional positions:
Ho 0.0000 0.0000 0.0000  4 Rh 2.83
Tm 0.0000 0.0000 0.5000  8 Rh 2.88
P 0.5000 0.5000 0.2100  5 Rh 2.26
P 0.5000 0.5000 0.7900  5 Rh 2.26
Rh 0.0000 0.5000 0.3070  2 P 2.26
Rh 0.0000 0.5000 0.6930  2 P 2.26
Rh 0.5000 0.0000 0.3070  2 P 2.26
Rh 0.5000 0.0000 0.6930  2 P 2.26
Rh 0.5000 0.5000 0.0000  2 P 2.26

* DOS(E_F): 3.958 states/eV per cell
* E: -7.032 eV per atom
* SG: P4/mmm



Here is an optimized crystal structure of Ho3TmP2Rh9 from Alexandria via LeMat-Bulk. Energies are from GGA-PBE.

Cell lengths 5.9767, 5.9767, 9.7796 Å; angles 90.00, 90.00, 120.00 degrees
With the nearest neighbours (Å) after each atom.
Fractional positions:
Ho 0.0000 0.0000 0.0000  12 Rh 2.99-3.02
Ho 0.3333 0.6667 0.7365  9 Rh 2.99-3.10
Ho 0.6667 0.3333 0.2635  9 Rh 2.99-3.10
Tm 0.0000 0.0000 0.5000  6 Rh 2.79
P 0.3333 0.6667 0.1538  6 Rh 2.18-2.29
P 0.6667 0.3333 0.8462  6 Rh 2.18-2.29
Rh 0.0000 0.5000 0.0000  2 P 2.29
Rh 0.1508 0.3015 0.2640  1 P 2.18
Rh 0.1508 0.8492 0.2640  1 P 2.18
Rh 0.3015 0.1508 0.7360  1 P 2.18
Rh 0.5000 0.0000 0.0000  2 P 2.29
Rh 0.5000 0.5000 0.0000  2 P 2.29
Rh 0.6985 0.8492 0.2640  1 P 2.18
Rh 0.8492 0.1508 0.7360  1 P 2.18
Rh 0.8492 0.6985 0.7360  1 P 2.18

* DOS(E_F): 13.188 states/eV per cell
* E: -6.961 eV per atom
* SG: P-3m1



Here is an optimized crystal structure of Ho2TmP3Rh12 from Alexandria via LeMat-Bulk. Energies are from GGA-PBE.

Cell lengths 6.6897, 6.6897, 6.6897 Å; angles 83.61, 83.61, 83.61 degrees
With the nearest neighbours (Å) after each atom.
Fractional positions:
Ho 0.1276 0.1276 0.1276  3 Rh 2.53
Ho 0.8724 0.8724 0.8724  3 Rh 2.53
Tm 0.5000 0.5000 0.5000  6 Rh 2.66
P 0.0000 0.5000 0.5000  2 Rh 2.23
P 0.5000 0.0000 0.5000  2 Rh 2.23
P 0.5000 0.5000 0.0000  2 Rh 2.23
Rh 0.1301 0.1301 0.5929  2 P 2.56, 1 Rh 2.68
Rh 0.1301 0.5929 0.1301  2 P 2.56, 1 Rh 2.68
Rh 0.1634 0.6792 0.6792  1 P 2.23
Rh 0.3208 0.3208 0.8366  1 P 2.23
Rh 0.3208 0.8366 0.3208  1 P 2.23
Rh 0.4071 0.8699 0.8699  2 P 2.56, 1 Rh 2.68
Rh 0.5929 0.1301 0.1301  2 P 2.56, 1 Rh 2.68
Rh 0.6792 0.1634 0.6792  1 P 2.23
Rh 0.6792 0.6792 0.1634  1 P 2.23
Rh 0.8366 0.3208 0.3208  1 P 2.23
Rh 0.8699 0.4071 0.8699  2 P 2.56, 1 Rh 2.68
Rh 0.8699 0.8699 0.4071  2 P 2.56, 1 Rh 2.68

* DOS(E_F): 15.912 states/eV per cell
* E: -6.989 eV per atom
* SG: R-3m



Here is an optimized crystal structure of HoUP2Rh5 from Alexandria via LeMat-Bulk. Energies are from GGA-PBE.

Cell lengths 3.9643, 3.9643, 10.8302 Å; angles 90.00, 90.00, 90.00 degrees
With the nearest neighbours (Å) after each atom.
Fractional positions:
Ho 0.0000 0.0000 0.0000  4 Rh 2.80
U 0.5000 0.5000 0.5000  8 Rh 2.73
P 0.5000 0.5000 0.2075  5 Rh 2.25-2.36
P 0.5000 0.5000 0.7925  5 Rh 2.25-2.36
Rh 0.0000 0.5000 0.3260  2 P 2.36
Rh 0.0000 0.5000 0.6740  2 P 2.36
Rh 0.5000 0.0000 0.3260  2 P 2.36
Rh 0.5000 0.0000 0.6740  2 P 2.36
Rh 0.5000 0.5000 0.0000  2 P 2.25

* DOS(E_F): 7.041 states/eV per cell
* E: -7.586 eV per atom
* SG: P4/mmm



Here is an optimized crystal structure of Y2HoP3Rh12 from Alexandria via LeMat-Bulk. Energies are from GGA-PBE.

Cell lengths 6.7053, 6.7053, 6.7053 Å; angles 83.81, 83.81, 83.81 degrees
With the nearest neighbours (Å) after each atom.
Fractional positions:
Y 0.1284 0.1284 0.1284  3 Rh 2.54
Y 0.8716 0.8716 0.8716  3 Rh 2.54
Ho 0.5000 0.5000 0.5000  6 Rh 2.67
P 0.0000 0.5000 0.5000  2 Rh 2.23
P 0.5000 0.0000 0.5000  2 Rh 2.23
P 0.5000 0.5000 0.0000  2 Rh 2.23
Rh 0.1305 0.1305 0.5923  2 P 2.57, 1 Rh 2.68
Rh 0.1305 0.5923 0.1305  2 P 2.57, 1 Rh 2.68
Rh 0.1636 0.6792 0.6792  1 P 2.23
Rh 0.3208 0.3208 0.8364  1 P 2.23
Rh 0.3208 0.8364 0.3208  1 P 2.23
Rh 0.4077 0.8695 0.8695  2 P 2.57, 1 Rh 2.68
Rh 0.5923 0.1305 0.1305  2 P 2.57, 1 Rh 2.68
Rh 0.6792 0.1636 0.6792  1 P 2.23
Rh 0.6792 0.6792 0.1636  1 P 2.23
Rh 0.8364 0.3208 0.3208  1 P 2.23
Rh 0.8695 0.4077 0.8695  2 P 2.57, 1 Rh 2.68
Rh 0.8695 0.8695 0.4077  2 P 2.57, 1 Rh 2.68

* DOS(E_F): 16.338 states/eV per cell
* E: -7.179 eV per atom
* SG: R-3m



Here is an optimized crystal structure of HoZnP2Rh5 from Alexandria via LeMat-Bulk. Energies are from GGA-PBE.

Cell lengths 4.0508, 4.0508, 9.5822 Å; angles 90.00, 90.00, 90.00 degrees
With the nearest neighbours (Å) after each atom.
Fractional positions:
Ho 0.0000 0.0000 0.0000  4 Rh 2.86
Zn 0.0000 0.0000 0.5000  8 Rh 2.55
P 0.5000 0.5000 0.2341  5 Rh 2.24-2.26
P 0.5000 0.5000 0.7659  5 Rh 2.24-2.26
Rh 0.0000 0.5000 0.3381  2 P 2.26
Rh 0.0000 0.5000 0.6619  2 P 2.26
Rh 0.5000 0.0000 0.3381  2 P 2.26
Rh 0.5000 0.0000 0.6619  2 P 2.26
Rh 0.5000 0.5000 0.0000  2 P 2.24

* DOS(E_F): 4.597 states/eV per cell
* E: -6.516 eV per atom
* SG: P4/mmm



Repeat the fifth record exactly.
Here is an optimized crystal structure of HoTh2P2Rh7 from Alexandria via LeMat-Bulk. Energies are from GGA-PBE.

Cell lengths 4.0226, 4.0226, 13.3969 Å; angles 95.81, 95.81, 89.61 degrees
With the nearest neighbours (Å) after each atom.
Fractional positions:
Ho 0.0000 0.0000 0.0000  12 Rh 2.83-2.94
Th 0.1091 0.1091 0.3477  9 Rh 3.01-3.21, 4 P 3.10-3.18
Th 0.8909 0.8909 0.6523  9 Rh 3.01-3.21, 4 P 3.10-3.18
P 0.4166 0.4166 0.7517  5 Rh 2.31-2.32
P 0.5834 0.5834 0.2483  5 Rh 2.31-2.32
Rh 0.0543 0.5537 0.1618  2 P 2.31-2.32
Rh 0.3682 0.3682 0.5770  1 P 2.32
Rh 0.4463 0.9457 0.8382  2 P 2.31-2.32
Rh 0.5000 0.5000 0.0000  4 Ho 2.83-2.85, 8 Rh 2.94
Rh 0.5537 0.0543 0.1618  2 P 2.31-2.32
Rh 0.6318 0.6318 0.4230  1 P 2.32
Rh 0.9457 0.4463 0.8382  2 P 2.31-2.32

* DOS(E_F): 7.636 states/eV per cell
* E: -7.793 eV per atom
* SG: C2/m